Model 1:
MoAsSeN2 after structural relaxation. Source: Alexandria, functional PBE.

```
data_MoAsSeN2
_chemical_formula_sum 'Mo1 As1 Se1 N2'
_cell_length_a 3.9193
_cell_length_b 3.9193
_cell_length_c 5.3507
_cell_angle_alpha 90.00
_cell_angle_beta 90.00
_cell_angle_gamma 90.00
_symmetry_space_group_name_H-M 'P 4/m m m'
_symmetry_Int_Tables_number 123
_symmetry_space_group_name_Hall '-P 4 2'
loop_
_atom_site_label
_atom_site_type_symbol
_atom_site_fract_x
_atom_site_fract_y
_atom_site_fract_z
_atom_site_occupancy
Mo1 Mo 0.0000 0.0000 0.0000 1
As1 As 0.5000 0.5000 0.5000 1
Se1 Se 0.0000 0.0000 0.5000 1
N1 N 0.0000 0.5000 0.0000 1
```

Computed properties:
M_tot   0.69 μB/f.u.
Fermi-level density of states   0.60 states/eV per atom
Calculated volume   82 Å³/cell

=====

Model 2:
MoAsSeN2 after structural relaxation. Source: Alexandria, functional PBE.

```
data_MoAsSeN2
_chemical_formula_sum 'Mo1 As1 Se1 N2'
_cell_length_a 3.6994
_cell_length_b 3.6994
_cell_length_c 6.5449
_cell_angle_alpha 90.00
_cell_angle_beta 90.00
_cell_angle_gamma 90.00
_symmetry_space_group_name_H-M 'P 4/m m m'
_symmetry_Int_Tables_number 123
_symmetry_space_group_name_Hall '-P 4 2'
loop_
_atom_site_label
_atom_site_type_symbol
_atom_site_fract_x
_atom_site_fract_y
_atom_site_fract_z
_atom_site_occupancy
Mo1 Mo 0.0000 0.0000 0.0000 1
As1 As 0.5000 0.5000 0.5000 1
Se1 Se 0.5000 0.5000 0.0000 1
N1 N 0.0000 0.5000 0.5000 1
```

Computed properties:
M_tot   3.00 μB/f.u.
Fermi-level density of states   0.42 states/eV per atom
Calculated volume   90 Å³/cell

=====

Which is most stable, and by how much? model 1, by 0.867 eV/atom.